No. 1
LiPu3Ta2N6 | PBE | relaxed

Calculated values
As for the density of states at the Fermi level: 19.55 states/eV/f.u. The formation energy without anion corrections is -1145 meV/atom. As for the size of the total moment: 1.142 μB/atom.

Lattice parameters (Å, degrees): 5.680 5.680 5.658 99.55 99.55 119.95
Positions (direct):
N 0.426 0.076 0.228
N 0.574 0.924 0.772
N 0.275 0.275 0.780
N 0.924 0.574 0.772
N 0.076 0.426 0.228
N 0.725 0.725 0.220
Pu 0.839 0.161 0.500
Pu 0.500 0.500 0.500
Pu 0.161 0.839 0.500
Ta 0.668 0.332 0.000
Ta 0.332 0.668 0.000
Li 0.000 0.000 0.000



No. 2
LiPu4TaN8 | PBE | relaxed

Calculated values
As for the density of states at the Fermi level: 28.80 states/eV/f.u. The formation energy without anion corrections is -887 meV/atom. As for the size of the total moment: 0.389 μB/atom.

Lattice parameters (Å, degrees): 6.905 6.905 6.289 56.70 56.70 60.00
Positions (direct):
Pu 0.505 0.995 0.504
Pu 0.995 0.505 0.504
Pu 0.995 0.995 0.504
Pu 0.595 0.595 0.216
N 0.285 0.285 0.693
N 0.200 0.767 0.267
N 0.244 0.244 0.269
N 0.767 0.200 0.267
N 0.755 0.755 0.734
N 0.737 0.285 0.693
N 0.285 0.737 0.693
N 0.767 0.767 0.267
Ta 0.380 0.380 0.861
Li 0.991 0.991 0.028



No. 3
Li2PuTaN4 | PBE | relaxed

Calculated values
As for the density of states at the Fermi level: 4.93 states/eV/f.u. The formation energy without anion corrections is -937 meV/atom. As for the size of the total moment: 0.375 μB/atom.

Lattice parameters (Å, degrees): 3.249 5.618 5.416 109.68 90.00 90.00
Positions (direct):
N 0.000 0.248 0.785
N 0.500 0.770 0.785
N 0.000 0.752 0.215
N 0.500 0.230 0.215
Li 0.500 0.000 0.500
Li 0.000 0.500 0.500
Pu 0.500 0.500 0.000
Ta 0.000 0.000 0.000



No. 4
LiPuTaN3 | PBE | relaxed

Calculated values
As for the density of states at the Fermi level: 7.09 states/eV/f.u. The formation energy without anion corrections is -962 meV/atom. As for the size of the total moment: 0.775 μB/atom.

Lattice parameters (Å, degrees): 3.176 6.696 6.822 103.93 90.00 90.00
Positions (direct):
Pu 0.750 0.809 0.782
Pu 0.250 0.191 0.218
N 0.750 0.220 0.522
N 0.250 0.556 0.838
N 0.250 0.124 0.868
N 0.750 0.876 0.132
N 0.250 0.780 0.478
N 0.750 0.444 0.162
Ta 0.250 0.666 0.183
Ta 0.750 0.334 0.817
Li 0.250 0.079 0.585
Li 0.750 0.921 0.415



No. 5
Li2Tb2PuN4 | PBE | relaxed

Calculated values
As for the density of states at the Fermi level: 4.96 states/eV/f.u. The formation energy without anion corrections is -974 meV/atom. As for the size of the total moment: 0.445 μB/atom.

Lattice parameters (Å, degrees): 3.364 6.366 5.874 108.48 90.00 105.32
Positions (direct):
Tb 0.143 0.286 0.565
Tb 0.857 0.714 0.435
N 0.781 0.563 0.761
N 0.526 0.052 0.762
N 0.474 0.948 0.238
N 0.219 0.437 0.239
Li 0.315 0.629 0.993
Li 0.685 0.371 0.007
Pu 0.000 0.000 0.000



No. 6
LiTbPu2N4 | PBE | relaxed

Calculated values
As for the density of states at the Fermi level: 10.98 states/eV/f.u. The formation energy without anion corrections is -1162 meV/atom. As for the size of the total moment: 1.000 μB/atom.

Lattice parameters (Å, degrees): 3.442 5.836 11.135 90.00 90.00 107.15
Positions (direct):
N 0.000 0.000 0.000
N 0.450 0.900 0.750
N 0.269 0.537 0.387
N 0.000 0.000 0.500
N 0.550 0.100 0.250
N 0.731 0.463 0.613
N 0.269 0.537 0.113
N 0.731 0.463 0.887
Tb 0.894 0.788 0.250
Tb 0.106 0.212 0.750
Pu 0.370 0.740 0.941
Pu 0.370 0.740 0.559
Pu 0.630 0.260 0.441
Pu 0.630 0.260 0.059
Li 0.160 0.321 0.250
Li 0.840 0.679 0.750



No. 7
Li3Pu3TcN8 | PBE | relaxed

Calculated values
As for the density of states at the Fermi level: 15.09 states/eV/f.u. The formation energy without anion corrections is -599 meV/atom. As for the size of the total moment: 0.668 μB/atom.

Lattice parameters (Å, degrees): 6.624 6.625 6.294 121.76 89.99 120.00
Positions (direct):
Li 0.000 0.500 0.000
Li 0.500 0.500 0.000
Li 0.000 0.000 0.000
N 0.753 0.979 0.706
N 0.247 0.021 0.294
N 0.739 0.479 0.718
N 0.226 0.453 0.706
N 0.261 0.521 0.282
N 0.774 0.547 0.294
N 0.227 0.979 0.706
N 0.773 0.021 0.294
Pu 0.500 0.000 0.500
Pu 0.000 0.500 0.500
Pu 0.500 0.500 0.500
Tc 0.000 0.000 0.500



No. 8
Li2PuTcN4 | PBE | relaxed

Calculated values
As for the density of states at the Fermi level: 4.63 states/eV/f.u. The formation energy without anion corrections is -511 meV/atom. As for the size of the total moment: 0.409 μB/atom.

Lattice parameters (Å, degrees): 4.460 4.574 8.135 90.00 90.00 90.00
Positions (direct):
Tc 0.937 0.296 0.000
Tc 0.437 0.704 0.500
N 0.437 0.270 0.500
N 0.937 0.225 0.235
N 0.438 0.281 0.000
N 0.437 0.775 0.265
N 0.437 0.775 0.735
N 0.937 0.225 0.765
N 0.937 0.730 0.000
N 0.938 0.719 0.500
Li 0.937 0.743 0.747
Li 0.937 0.743 0.253
Li 0.437 0.257 0.247
Li 0.437 0.257 0.753
Pu 0.438 0.772 0.000
Pu 0.938 0.228 0.500



No. 9
Li3Pu2TcN6 | PBE | relaxed

Calculated values
As for the density of states at the Fermi level: 12.57 states/eV/f.u. The formation energy without anion corrections is -639 meV/atom. As for the size of the total moment: 0.655 μB/atom.

Lattice parameters (Å, degrees): 5.674 5.674 5.356 99.16 99.16 120.57
Positions (direct):
N 0.253 0.253 0.781
N 0.615 0.931 0.786
N 0.385 0.069 0.214
N 0.931 0.615 0.786
N 0.069 0.385 0.214
N 0.747 0.747 0.219
Pu 0.667 0.333 0.000
Pu 0.333 0.667 0.000
Li 0.500 0.500 0.500
Li 0.859 0.141 0.500
Li 0.141 0.859 0.500
Tc 0.000 0.000 0.000



No. 10
Li4PuTc3N8 | PBE | relaxed

Calculated values
As for the density of states at the Fermi level: 8.47 states/eV/f.u. The formation energy without anion corrections is -351 meV/atom. As for the size of the total moment: 0.092 μB/atom.

Lattice parameters (Å, degrees): 6.072 6.192 6.072 119.36 120.00 90.00
Positions (direct):
N 0.242 0.724 0.982
N 0.758 0.276 0.517
N 0.740 0.724 0.982
N 0.242 0.724 0.483
N 0.259 0.277 0.518
N 0.260 0.276 0.018
N 0.758 0.276 0.018
N 0.741 0.723 0.482
Li 0.500 0.000 0.000
Li 0.000 0.000 0.500
Li 0.000 0.000 0.000
Li 0.500 0.000 0.500
Tc 0.000 0.500 0.500
Tc 0.500 0.500 0.500
Tc 0.500 0.500 0.000
Pu 0.000 0.500 0.000



No. 11
Li4Pu3TcN8 | PBE | relaxed

Calculated values
As for the density of states at the Fermi level: 15.19 states/eV/f.u. The formation energy without anion corrections is -681 meV/atom. As for the size of the total moment: 0.691 μB/atom.

Lattice parameters (Å, degrees): 6.614 6.332 6.616 121.44 119.99 90.00
Positions (direct):
Tc 0.000 0.500 0.000
Li 0.000 0.000 0.000
Li 0.000 0.000 0.500
Li 0.500 0.000 0.500
Li 0.500 0.000 0.000
N 0.261 0.284 0.523
N 0.739 0.716 0.477
N 0.768 0.287 0.019
N 0.232 0.713 0.463
N 0.749 0.713 0.981
N 0.768 0.287 0.537
N 0.251 0.287 0.019
N 0.232 0.713 0.981
Pu 0.500 0.500 0.000
Pu 0.000 0.500 0.500
Pu 0.500 0.500 0.500



No. 12
LiPuTh2N4 | PBE | relaxed

Calculated values
As for the density of states at the Fermi level: 6.83 states/eV/f.u. The formation energy without anion corrections is -1169 meV/atom. As for the size of the total moment: 0.622 μB/atom.

Lattice parameters (Å, degrees): 3.698 6.157 5.962 107.86 90.00 90.00
Positions (direct):
Th 0.500 0.000 0.500
Th 0.000 0.500 0.500
N 0.000 0.220 0.728
N 0.500 0.747 0.745
N 0.000 0.780 0.272
N 0.500 0.253 0.255
Pu 0.000 0.000 0.000
Li 0.500 0.500 0.000



No. 13
LiPu4ThN8 | PBE | relaxed

Calculated values
As for the density of states at the Fermi level: 22.20 states/eV/f.u. The formation energy without anion corrections is -957 meV/atom. As for the size of the total moment: 0.282 μB/atom.

Lattice parameters (Å, degrees): 6.916 6.916 6.554 58.16 58.16 60.00
Positions (direct):
Li 0.007 0.007 0.980
N 0.239 0.804 0.717
N 0.804 0.239 0.717
N 0.741 0.214 0.304
N 0.239 0.239 0.717
N 0.214 0.741 0.304
N 0.741 0.741 0.304
N 0.762 0.762 0.715
N 0.241 0.241 0.276
Pu 0.001 0.498 0.499
Pu 0.001 0.001 0.499
Pu 0.498 0.001 0.499
Pu 0.618 0.618 0.145
Th 0.392 0.392 0.824



No. 14
LiPuThN3 | PBE | relaxed

Calculated values
As for the density of states at the Fermi level: 7.36 states/eV/f.u. The formation energy without anion corrections is -1105 meV/atom. As for the size of the total moment: 0.663 μB/atom.

Lattice parameters (Å, degrees): 3.453 7.216 6.972 103.19 90.00 90.00
Positions (direct):
Li 0.750 0.922 0.412
Li 0.250 0.078 0.588
N 0.750 0.418 0.144
N 0.250 0.800 0.503
N 0.750 0.200 0.497
N 0.250 0.119 0.870
N 0.750 0.881 0.130
N 0.250 0.582 0.856
Pu 0.750 0.334 0.818
Pu 0.250 0.666 0.182
Th 0.750 0.815 0.776
Th 0.250 0.185 0.224



No. 15
LiPu2ThN4 | PBE | relaxed

Calculated values
As for the density of states at the Fermi level: 10.16 states/eV/f.u. The formation energy without anion corrections is -1218 meV/atom. As for the size of the total moment: 1.118 μB/atom.

Lattice parameters (Å, degrees): 3.469 5.917 11.320 90.00 90.00 107.05
Positions (direct):
N 0.000 0.000 0.500
N 0.547 0.095 0.250
N 0.727 0.454 0.882
N 0.000 0.000 0.000
N 0.273 0.546 0.118
N 0.453 0.905 0.750
N 0.273 0.546 0.382
N 0.727 0.454 0.618
Pu 0.370 0.740 0.943
Pu 0.630 0.260 0.057
Pu 0.630 0.260 0.443
Pu 0.370 0.740 0.557
Li 0.841 0.683 0.750
Li 0.159 0.317 0.250
Th 0.890 0.780 0.250
Th 0.110 0.220 0.750



No. 16
LiPu2TiN4 | PBE | relaxed

Calculated values
As for the density of states at the Fermi level: 11.56 states/eV/f.u. The formation energy without anion corrections is -1110 meV/atom. As for the size of the total moment: 1.087 μB/atom.

Lattice parameters (Å, degrees): 3.336 5.816 5.478 110.30 90.00 90.00
Positions (direct):
Ti 0.000 0.000 0.000
Pu 0.000 0.500 0.500
Pu 0.500 0.000 0.500
N 0.000 0.217 0.748
N 0.500 0.228 0.239
N 0.500 0.772 0.761
N 0.000 0.783 0.252
Li 0.500 0.500 0.000



No. 17
LiTm2PuN4 | PBE | relaxed

Calculated values
As for the density of states at the Fermi level: 4.83 states/eV/f.u. The formation energy without anion corrections is -1277 meV/atom. As for the size of the total moment: 0.375 μB/atom.

Lattice parameters (Å, degrees): 3.454 5.681 5.701 106.10 90.00 90.00
Positions (direct):
N 0.500 0.255 0.254
N 0.000 0.208 0.754
N 0.500 0.745 0.746
N 0.000 0.792 0.246
Tm 0.500 0.000 0.500
Tm 0.000 0.500 0.500
Li 0.500 0.500 0.000
Pu 0.000 0.000 0.000



No. 18
LiTmPu4N8 | PBE | relaxed

Calculated values
As for the density of states at the Fermi level: 23.95 states/eV/f.u. The formation energy without anion corrections is -956 meV/atom. As for the size of the total moment: 0.857 μB/atom.

Lattice parameters (Å, degrees): 6.862 6.862 6.404 57.60 57.60 60.00
Positions (direct):
N 0.757 0.206 0.279
N 0.790 0.256 0.698
N 0.206 0.757 0.279
N 0.757 0.757 0.279
N 0.757 0.757 0.730
N 0.236 0.236 0.292
N 0.256 0.256 0.698
N 0.256 0.790 0.698
Pu 0.999 0.500 0.502
Pu 0.999 0.999 0.502
Pu 0.500 0.999 0.502
Pu 0.606 0.606 0.181
Tm 0.382 0.382 0.853
Li 0.998 0.998 0.005



No. 19
LiTmPu2N4 | PBE | relaxed

Calculated values
As for the density of states at the Fermi level: 10.82 states/eV/f.u. The formation energy without anion corrections is -1148 meV/atom. As for the size of the total moment: 1.000 μB/atom.

Lattice parameters (Å, degrees): 3.411 5.794 11.125 90.00 90.00 107.12
Positions (direct):
Tm 0.893 0.786 0.250
Tm 0.107 0.214 0.750
Pu 0.370 0.741 0.941
Pu 0.370 0.741 0.559
Pu 0.630 0.259 0.059
Pu 0.630 0.259 0.441
N 0.270 0.540 0.115
N 0.545 0.091 0.250
N 0.455 0.909 0.750
N 0.270 0.540 0.385
N 0.730 0.460 0.885
N 0.000 0.000 0.000
N 0.000 0.000 0.500
N 0.730 0.460 0.615
Li 0.841 0.683 0.750
Li 0.159 0.317 0.250



No. 20
LiPu4U3N8 | PBE | relaxed

Calculated values
As for the density of states at the Fermi level: 28.25 states/eV/f.u. The formation energy without anion corrections is -1171 meV/atom. As for the size of the total moment: 0.755 μB/atom.

Lattice parameters (Å, degrees): 6.867 6.879 6.866 119.93 120.00 90.00
Positions (direct):
N 0.257 0.270 0.513
N 0.252 0.729 0.504
N 0.748 0.271 0.023
N 0.743 0.730 0.487
N 0.252 0.729 0.977
N 0.725 0.729 0.977
N 0.748 0.271 0.496
N 0.275 0.271 0.023
Pu 0.000 0.000 0.500
Pu 0.000 0.000 0.000
Pu 0.500 0.000 0.000
Pu 0.500 0.000 0.500
U 0.500 0.500 0.500
U 0.000 0.500 0.500
U 0.500 0.500 0.000
Li 0.000 0.500 0.000